1.
The following is a DFT calculation (PBE) of a geometry-optimized TlFeI2N structure.

a b c (Å): 6.2150 6.2150 4.0301
angles (deg): 90.00 90.00 90.00
Space group P4/mmm (No. 123)
Asymmetric unit:
Tl: 0.0000 0.0000 0.0000 (multiplicity 1)
Fe: 0.5000 0.5000 0.5000 (multiplicity 1)
I: 0.0000 0.5000 0.0000 (multiplicity 2)
N: 0.0000 0.0000 0.5000 (multiplicity 1)

Distance to the lowest polymorph of the same formula ... 114.9 kJ/mol of atoms
Crystal system ... tetragonal
Calculated density ... 5.63 g/cm3

---

2.
The following is a DFT calculation (PBE) of a geometry-optimized TlFeI2N structure.

a b c (Å): 5.8224 5.8224 3.5785
angles (deg): 90.00 90.00 90.00
Space group P4/mmm (No. 123)
Asymmetric unit:
Tl: 0.0000 0.0000 0.0000 (multiplicity 1)
Fe: 0.5000 0.5000 0.5000 (multiplicity 1)
I: 0.0000 0.5000 0.5000 (multiplicity 2)
N: 0.5000 0.5000 0.0000 (multiplicity 1)

Distance to the lowest polymorph of the same formula ... 0.0 kJ/mol of atoms
Crystal system ... tetragonal
Calculated density ... 7.23 g/cm3

---

3.
The following is a DFT calculation (PBE) of a geometry-optimized VFeIN2 structure.

a b c (Å): 3.7109 3.7109 5.4626
angles (deg): 90.00 90.00 90.00
Space group P4/mmm (No. 123)
Asymmetric unit:
V: 0.0000 0.0000 0.0000 (multiplicity 1)
Fe: 0.5000 0.5000 0.5000 (multiplicity 1)
I: 0.5000 0.5000 0.0000 (multiplicity 1)
N: 0.0000 0.5000 0.5000 (multiplicity 2)

Distance to the lowest polymorph of the same formula ... 54.8 kJ/mol of atoms
Crystal system ... tetragonal
Calculated density ... 5.78 g/cm3

---

4.
The following is a DFT calculation (PBE) of a geometry-optimized VFeIN2 structure.

a b c (Å): 3.7936 3.7936 5.7023
angles (deg): 90.00 90.00 90.00
Space group P4/mmm (No. 123)
Asymmetric unit:
V: 0.0000 0.0000 0.0000 (multiplicity 1)
Fe: 0.5000 0.5000 0.5000 (multiplicity 1)
I: 0.0000 0.0000 0.5000 (multiplicity 1)
N: 0.0000 0.5000 0.0000 (multiplicity 2)

Distance to the lowest polymorph of the same formula ... 0.0 kJ/mol of atoms
Crystal system ... tetragonal
Calculated density ... 5.30 g/cm3

---

5.
The following is a DFT calculation (PBE) of a geometry-optimized FeWI2N structure.

a b c (Å): 5.2867 5.2867 3.4220
angles (deg): 90.00 90.00 90.00
Space group P4/mmm (No. 123)
Asymmetric unit:
Fe: 0.0000 0.0000 0.0000 (multiplicity 1)
W: 0.5000 0.5000 0.5000 (multiplicity 1)
I: 0.0000 0.5000 0.0000 (multiplicity 2)
N: 0.0000 0.0000 0.5000 (multiplicity 1)

Distance to the lowest polymorph of the same formula ... 31.5 kJ/mol of atoms
Crystal system ... tetragonal
Calculated density ... 8.81 g/cm3

---

6.
The following is a DFT calculation (PBE) of a geometry-optimized FeWIN2 structure.

a b c (Å): 3.8674 3.8674 5.7503
angles (deg): 90.00 90.00 90.00
Space group P4/mmm (No. 123)
Asymmetric unit:
Fe: 0.0000 0.0000 0.0000 (multiplicity 1)
W: 0.5000 0.5000 0.5000 (multiplicity 1)
I: 0.5000 0.5000 0.0000 (multiplicity 1)
N: 0.0000 0.5000 0.5000 (multiplicity 2)

Distance to the lowest polymorph of the same formula ... 0.0 kJ/mol of atoms
Crystal system ... tetragonal
Calculated density ... 7.62 g/cm3

---

7.
The following is a DFT calculation (PBE) of a geometry-optimized FeWIN2 structure.

a b c (Å): 3.8162 3.8162 5.2112
angles (deg): 90.00 90.00 90.00
Space group P4/mmm (No. 123)
Asymmetric unit:
Fe: 0.0000 0.0000 0.0000 (multiplicity 1)
W: 0.5000 0.5000 0.5000 (multiplicity 1)
I: 0.0000 0.0000 0.5000 (multiplicity 1)
N: 0.0000 0.5000 0.0000 (multiplicity 2)

Distance to the lowest polymorph of the same formula ... 96.4 kJ/mol of atoms
Crystal system ... tetragonal
Calculated density ... 8.63 g/cm3

---

8.
The following is a DFT calculation (PBE) of a geometry-optimized FeWI2N structure.

a b c (Å): 5.6075 5.6075 3.8304
angles (deg): 90.00 90.00 90.00
Space group P4/mmm (No. 123)
Asymmetric unit:
Fe: 0.0000 0.0000 0.0000 (multiplicity 1)
W: 0.5000 0.5000 0.5000 (multiplicity 1)
I: 0.0000 0.5000 0.5000 (multiplicity 2)
N: 0.5000 0.5000 0.0000 (multiplicity 1)

Distance to the lowest polymorph of the same formula ... 0.0 kJ/mol of atoms
Crystal system ... tetragonal
Calculated density ... 7.00 g/cm3

---

9.
The following is a DFT calculation (PBE) of a geometry-optimized ZnFeIN2 structure.

a b c (Å): 3.6664 3.6664 6.7462
angles (deg): 90.00 90.00 90.00
Space group P4/mmm (No. 123)
Asymmetric unit:
Zn: 0.0000 0.0000 0.0000 (multiplicity 1)
Fe: 0.5000 0.5000 0.5000 (multiplicity 1)
I: 0.5000 0.5000 0.0000 (multiplicity 1)
N: 0.0000 0.5000 0.5000 (multiplicity 2)

Distance to the lowest polymorph of the same formula ... 0.0 kJ/mol of atoms
Crystal system ... tetragonal
Calculated density ... 5.06 g/cm3

---

10.
The following is a DFT calculation (PBE) of a geometry-optimized ZnFeIN2 structure.

a b c (Å): 3.8239 3.8239 6.6441
angles (deg): 90.00 90.00 90.00
Space group P4/mmm (No. 123)
Asymmetric unit:
Zn: 0.0000 0.0000 0.0000 (multiplicity 1)
Fe: 0.5000 0.5000 0.5000 (multiplicity 1)
I: 0.0000 0.0000 0.5000 (multiplicity 1)
N: 0.0000 0.5000 0.0000 (multiplicity 2)

Distance to the lowest polymorph of the same formula ... 96.8 kJ/mol of atoms
Crystal system ... tetragonal
Calculated density ... 4.72 g/cm3

---

11.
The following is a DFT calculation (PBE) of a geometry-optimized ZrFeIN2 structure.

a b c (Å): 4.1548 4.1548 6.0824
angles (deg): 90.00 90.00 90.00
Space group P4/mmm (No. 123)
Asymmetric unit:
Zr: 0.0000 0.0000 0.0000 (multiplicity 1)
Fe: 0.5000 0.5000 0.5000 (multiplicity 1)
I: 0.0000 0.0000 0.5000 (multiplicity 1)
N: 0.0000 0.5000 0.0000 (multiplicity 2)

Distance to the lowest polymorph of the same formula ... 0.0 kJ/mol of atoms
Crystal system ... tetragonal
Calculated density ... 4.78 g/cm3

---

12.
The following is a DFT calculation (PBE) of a geometry-optimized ZrFeIN2 structure.

a b c (Å): 3.9536 3.9536 4.9288
angles (deg): 90.00 90.00 90.00
Space group P4/mmm (No. 123)
Asymmetric unit:
Zr: 0.0000 0.0000 0.0000 (multiplicity 1)
Fe: 0.5000 0.5000 0.5000 (multiplicity 1)
I: 0.5000 0.5000 0.0000 (multiplicity 1)
N: 0.0000 0.5000 0.5000 (multiplicity 2)

Distance to the lowest polymorph of the same formula ... 23.4 kJ/mol of atoms
Crystal system ... tetragonal
Calculated density ... 6.51 g/cm3